No. 1
LiNiTe3Au: relaxed, GGA-PBE.

## Properties
E	-3.613	eV per atom
space group	No. 63

Cell lengths 7.064, 7.064, 10.795 Å; angles 90.00, 90.00, 149.17 degrees
Element x y z (fractional)
1 Li 0.221 0.779 0.750
2 Li 0.779 0.221 0.250
3 Ni 0.500 0.500 0.000
4 Ni 0.500 0.500 0.500
5 Te 0.129 0.871 0.006
6 Te 0.129 0.871 0.494
7 Te 0.448 0.552 0.250
8 Te 0.552 0.448 0.750
9 Te 0.871 0.129 0.506
10 Te 0.871 0.129 0.994
11 Au 0.138 0.862 0.250
12 Au 0.862 0.138 0.750


No. 2
PrNiSnAsIr: relaxed, GGA-PBE.

## Properties
E	-6.223	eV per atom
space group	No. 129
ΔE to the lowest computed polymorph	0.23	eV/f.u.

Cell lengths 4.504, 4.504, 9.838 Å; angles 90.00, 90.00, 90.00 degrees
Element x y z (fractional)
1 Pr 0.250 0.250 0.238
2 Pr 0.750 0.750 0.762
3 Ni 0.250 0.750 0.500
4 Ni 0.750 0.250 0.500
5 Sn 0.250 0.250 0.623
6 Sn 0.750 0.750 0.377
7 As 0.250 0.750 0.000
8 As 0.750 0.250 0.000
9 Ir 0.250 0.250 0.894
10 Ir 0.750 0.750 0.106


No. 3
LuGaCoAu: relaxed, GGA-PBE.

## Properties
E	-4.833	eV per atom
space group	No. 216
ΔE to the lowest computed polymorph	0.00	eV/f.u.

Cell lengths 4.593, 4.593, 4.593 Å; angles 60.00, 60.00, 60.00 degrees
Element x y z (fractional)
1 Lu 0.000 0.000 0.000
2 Ga 0.500 0.500 0.500
3 Co 0.750 0.750 0.750
4 Au 0.250 0.250 0.250


> What is the E in the first record?

-3.613 eV per atom


> Among the records above, which one has the highest E?

LiNiTe3Au


> Look up the E of the first one.

-3.613 eV per atom


> Among the records above, which one has the lowest E?

PrNiSnAsIr